LaPr2NdP4: relaxed, GGA-PBE.

extended XYZ file:
```
8
Lattice="7.294 0.000 0.000 0.000 4.216 0.000 -2.428 0.000 6.880" Properties=species:S:1:pos:R:3 pbc="T T T"
La 0.000 0.000 0.000
Pr 2.433 0.000 3.440
Pr 3.647 2.108 0.000
Nd -1.214 2.108 3.440
P 0.002 0.000 5.146
P 1.217 2.108 1.734
P 3.649 2.108 5.146
P 4.864 0.000 1.735
```

Properties
Density ... 5.41 g/cm³
Volume ... 212 Å³ per cell
Total DFT energy (no corrections) ... -0.244 Ha/atom
Energy relative to the elements ... -1.54 eV per atom
N(E_F) ... 0.78 states/eV/f.u.
Space group ... P2/m (10)